A relaxed Rb6Hg2O crystal, computed with GGA-PBE.

a b c (Å): 8.517 8.528 12.068
angles (deg): 90.00 90.09 90.00
Atoms (fractional coordinates):
Rb 0.999 0.000 0.271
Rb 0.769 0.774 0.500
Rb 0.727 0.731 0.000
Rb 0.773 0.231 0.500
Rb 0.731 0.274 0.000
Rb 0.501 0.500 0.229
Rb 0.001 0.000 0.729
Rb 0.231 0.226 0.500
Rb 0.273 0.269 0.000
Rb 0.227 0.769 0.500
Rb 0.269 0.726 0.000
Rb 0.499 0.500 0.771
Hg 0.998 0.501 0.749
Hg 0.502 0.001 0.751
Hg 0.498 0.999 0.249
Hg 0.002 0.499 0.251
O 0.500 0.500 0.000
O 0.000 0.000 0.500

Properties
* Fermi-level density of states: 11.8 states/eV/cell
* raw formation energy: -0.411 eV per atom
* polymorph energy (0 for the lowest one): 0.0 meV per atom
* final energy: -0.062 hartree per atom

***

A relaxed Rb4Hg2O crystal, computed with GGA-PBE.

a b c (Å): 5.724 5.724 10.090
angles (deg): 106.48 106.48 90.00
Atoms (fractional coordinates):
O 0.000 0.000 0.000
Hg 0.644 0.644 0.289
Hg 0.356 0.356 0.711
Rb 0.851 0.851 0.702
Rb 0.149 0.149 0.298
Rb 0.000 0.500 0.000
Rb 0.500 0.000 0.000

Properties
* Fermi-level density of states: 6.3 states/eV/cell
* raw formation energy: -0.467 eV per atom
* polymorph energy (0 for the lowest one): 40.2 meV per atom
* final energy: -0.067 hartree per atom

***

| no. | mass density (g/cm³) |
| --- | --- |
| 1 | 3.52 |
| 2 | 4.16 |